[1]
Density functional theory data (PBE) for a geometry-optimized Ti3ZnN structure.

Computed properties:
- ΔE_f (raw) (eV/atom) = -0.146

Cell: 7.334 7.334 7.334 Å, 140.06 140.06 57.76°
Sites, in units of the cell vectors:
Ti: 0.217 0.217 0.000
Ti: 0.343 0.609 0.734
Ti: 0.391 0.125 0.734
Ti: 0.391 0.657 0.266
Ti: 0.783 0.783 0.000
Ti: 0.875 0.609 0.266
Zn: 0.640 0.140 0.500
Zn: 0.860 0.360 0.500
N: 0.250 0.750 0.500
N: 0.500 0.500 0.000

=====

[2]
Density functional theory data (PBE) for a geometry-optimized Zr2RhCl structure.

Computed properties:
- ΔE_f (raw) (eV/atom) = -0.584

Cell: 3.203 4.442 5.409 Å, 90.00 90.00 90.00°
Sites, in units of the cell vectors:
Zr: 0.000 0.000 0.000
Zr: 0.500 0.500 0.500
Rh: 0.000 0.000 0.500
Cl: 0.500 0.500 0.000

=====

[3]
Density functional theory data (PBE) for a geometry-optimized Mg2TiHPt structure.

Computed properties:
- energy (eV per atom) = -4.47

Cell: 4.202 4.202 3.951 Å, 90.00 90.00 90.00°
Sites, in units of the cell vectors:
Mg: 0.000 0.500 0.000
Mg: 0.500 0.000 0.000
Ti: 0.000 0.000 0.500
H: 0.000 0.000 0.000
Pt: 0.500 0.500 0.500

=====

Q: Which formula does entry 3 have?
A: Mg2TiHPt

=====

Please write out number 1 again, unchanged.
Density functional theory data (PBE) for a geometry-optimized Ti3ZnN structure.

Computed properties:
- ΔE_f (raw) (eV/atom) = -0.146

Cell: 7.334 7.334 7.334 Å, 140.06 140.06 57.76°
Sites, in units of the cell vectors:
Ti: 0.217 0.217 0.000
Ti: 0.343 0.609 0.734
Ti: 0.391 0.125 0.734
Ti: 0.391 0.657 0.266
Ti: 0.783 0.783 0.000
Ti: 0.875 0.609 0.266
Zn: 0.640 0.140 0.500
Zn: 0.860 0.360 0.500
N: 0.250 0.750 0.500
N: 0.500 0.500 0.000